Model a:
## CdSb (PBE)

Data for an optimized crystal structure of CdSb.

## Properties
The value obtained for the volume is 108.5 Å³/cell. The space group is Pmmn (59). For the calculated density, the calculation gives 7.169 g/cm³.

The structure in POSCAR format:
```
CdSb
1.0
3.253 0.000 0.000
0.000 4.910 0.000
0.000 0.000 6.791
Cd Sb
2 2
Cartesian
0.813 1.228 0.635
2.440 3.683 6.156
0.813 3.683 2.228
2.440 1.228 4.562
```

***

Model b:
## CdSb (PBE)

Data for an optimized crystal structure of CdSb.

## Properties
The value obtained for the volume is 52.1 Å³/cell. The space group is Cmmm (65). For the calculated density, the calculation gives 7.469 g/cm³.

The structure in POSCAR format:
```
CdSb
1.0
2.079 -2.645 0.000
2.079 2.645 0.000
0.000 0.000 4.734
Cd Sb
1 1
Cartesian
0.000 0.000 0.000
2.079 0.000 2.367
```

***

Of them, the most stable is model a and the least stable is model b.

***

Model a:
## CdSb (PBE)

Data for an optimized crystal structure of CdSb.

## Properties
The value obtained for the volume is 108.6 Å³/cell. The space group is Pmmn (59). For the calculated density, the calculation gives 7.162 g/cm³.

The structure in POSCAR format:
```
CdSb
1.0
4.349 0.000 0.000
0.000 4.389 0.000
0.000 0.000 5.689
Cd Sb
2 2
Cartesian
1.087 1.097 0.004
3.261 3.292 5.684
1.087 3.292 2.142
3.261 1.097 3.547
```

***

Model b:
## CdSb (PBE)

Data for an optimized crystal structure of CdSb.

## Properties
The value obtained for the volume is 293.2 Å³/cell. The space group is Fddd (70). For the calculated density, the calculation gives 5.305 g/cm³.

The structure in POSCAR format:
```
CdSb
1.0
0.000 5.285 8.128
3.412 0.000 8.128
3.412 5.285 0.000
Cd Sb
4 4
Cartesian
2.559 0.826 6.096
4.265 3.469 10.160
2.559 7.101 6.096
4.265 9.744 10.160
2.559 3.964 4.164
2.559 3.964 8.029
4.265 6.606 8.228
4.265 6.606 12.093
```

***

Of them, the most stable is model a and the least stable is model b.

***

Model a:
## CdSb3 (PBE)

Data for an optimized crystal structure of CdSb3.

## Properties
The value obtained for the volume is 106.5 Å³/cell. The space group is Cmmm (65). For the calculated density, the calculation gives 7.445 g/cm³.

The structure in POSCAR format:
```
CdSb3
1.0
1.950 -2.597 0.000
1.950 2.597 0.000
0.000 0.000 10.521
Cd Sb
1 3
Cartesian
0.000 0.000 0.000
0.000 0.000 5.260
1.950 0.000 2.540
1.950 0.000 7.981
```

***

Model b:
## CdSb3 (PBE)

Data for an optimized crystal structure of CdSb3.

## Properties
The value obtained for the volume is 115.4 Å³/cell. The space group is P2/m (10). For the calculated density, the calculation gives 6.873 g/cm³.

The structure in POSCAR format:
```
CdSb3
1.0
3.121 0.000 0.000
0.000 4.356 0.000
-1.006 0.000 8.491
Cd Sb
1 3
Cartesian
0.000 0.000 0.000
-0.503 0.000 4.246
-0.475 2.178 6.425
2.589 2.178 2.066
```

***

Model c:
## CdSb3 (PBE)

Data for an optimized crystal structure of CdSb3.

## Properties
The value obtained for the volume is 223.8 Å³/cell. The space group is Pmmn (59). For the calculated density, the calculation gives 7.087 g/cm³.

The structure in POSCAR format:
```
CdSb3
1.0
6.054 0.000 0.000
0.000 6.663 0.000
0.000 0.000 5.549
Cd Sb
2 6
Cartesian
1.514 1.666 0.005
4.541 4.997 5.544
1.514 3.363 2.775
1.514 4.997 0.012
1.514 6.631 2.775
4.541 0.031 2.775
4.541 1.666 5.537
4.541 3.300 2.775
```

***

Of them, the most stable is model b and the least stable is model a.

***

Model a:
## CdSb4 (PBE)

Data for an optimized crystal structure of CdSb4.

## Properties
The value obtained for the volume is 144.2 Å³/cell. The space group is I4/m (87). For the calculated density, the calculation gives 6.902 g/cm³.

The structure in POSCAR format:
```
CdSb4
1.0
-3.640 3.640 2.721
3.640 -3.640 2.721
3.640 3.640 -2.721
Cd Sb
1 4
Cartesian
0.000 0.000 0.000
2.626 1.683 0.000
1.957 -1.014 2.721
1.683 4.654 0.000
1.014 1.957 2.721
```

***

Model b:
## CdSb4 (PBE)

Data for an optimized crystal structure of CdSb4.

## Properties
The value obtained for the volume is 158.2 Å³/cell. The space group is Im-3m (229). For the calculated density, the calculation gives 6.293 g/cm³.

The structure in POSCAR format:
```
CdSb4
1.0
-3.407 3.407 3.407
3.407 -3.407 3.407
3.407 3.407 -3.407
Cd Sb
1 4
Cartesian
0.000 0.000 0.000
1.703 1.703 -1.703
1.703 -1.703 1.703
-1.703 1.703 1.703
1.703 1.703 1.703
```

***

Of them, the most stable is model a and the least stable is model b.

***

Model a:
## CdSb4 (PBE)

Data for an optimized crystal structure of CdSb4.

## Properties
The value obtained for the volume is 164.6 Å³/cell. The space group is Pm-3m (221). For the calculated density, the calculation gives 6.048 g/cm³.

The structure in POSCAR format:
```
CdSb4
1.0
5.480 0.000 0.000
0.000 5.480 0.000
0.000 0.000 5.480
Cd Sb
1 4
Cartesian
0.000 0.000 0.000
0.000 0.000 2.740
0.000 2.740 0.000
2.740 0.000 0.000
2.740 2.740 2.740
```

***

Model b:
## CdSb4 (PBE)

Data for an optimized crystal structure of CdSb4.

## Properties
The value obtained for the volume is 159.2 Å³/cell. The space group is I4/mmm (139). For the calculated density, the calculation gives 6.251 g/cm³.

The structure in POSCAR format:
```
CdSb4
1.0
-3.011 3.011 4.390
3.011 -3.011 4.390
3.011 3.011 -4.390
Cd Sb
1 4
Cartesian
0.000 0.000 0.000
3.011 0.000 2.195
0.000 0.000 2.851
0.000 0.000 5.929
0.000 3.011 2.195
```

***

Of them, the most stable is model b and the least stable is model a.

***

Model a:
## CdSb5 (PBE)

Data for an optimized crystal structure of CdSb5.

## Properties
The value obtained for the volume is 174.6 Å³/cell. The space group is F-43m (216). For the calculated density, the calculation gives 6.859 g/cm³.

The structure in POSCAR format:
```
CdSb5
1.0
0.000 4.436 4.436
4.436 0.000 4.436
4.436 4.436 0.000
Cd Sb
1 5
Cartesian
0.000 0.000 0.000
3.326 3.326 3.326
5.546 5.546 3.326
5.546 3.326 5.546
6.654 6.654 6.654
3.326 5.546 5.546
```

***

Model b:
## CdSb5 (PBE)

Data for an optimized crystal structure of CdSb5.

## Properties
The value obtained for the volume is 172.0 Å³/cell. The space group is Cmmm (65). For the calculated density, the calculation gives 6.963 g/cm³.

The structure in POSCAR format:
```
CdSb5
1.0
2.099 -9.296 0.000
2.099 9.296 0.000
0.000 0.000 4.408
Cd Sb
1 5
Cartesian
0.000 0.000 0.000
2.099 6.828 2.204
2.099 3.532 0.000
2.099 0.000 2.204
2.099 -3.532 0.000
2.099 -6.828 2.204
```

***

Of them, the most stable is model b and the least stable is model a.

***

Model a:
## CdSb5 (PBE)

Data for an optimized crystal structure of CdSb5.

## Properties
The value obtained for the volume is 163.1 Å³/cell. The space group is P-62m (189). For the calculated density, the calculation gives 7.343 g/cm³.

The structure in POSCAR format:
```
CdSb5
1.0
5.839 0.000 0.000
-2.920 5.057 0.000
0.000 0.000 5.523
Cd Sb
1 5
Cartesian
0.000 0.000 0.000
-2.025 3.507 2.761
0.895 1.550 2.761
0.000 3.371 0.000
2.920 1.686 0.000
4.050 0.000 2.761
```

***

Model b:
## CdSb5 (PBE)

Data for an optimized crystal structure of CdSb5.

## Properties
The value obtained for the volume is 184.5 Å³/cell. The space group is P6/mmm (191). For the calculated density, the calculation gives 6.491 g/cm³.

The structure in POSCAR format:
```
CdSb5
1.0
6.205 0.000 0.000
-3.102 5.373 0.000
0.000 0.000 5.534
Cd Sb
1 5
Cartesian
0.000 0.000 0.000
-1.551 2.687 2.767
0.000 3.582 0.000
3.102 0.000 2.767
1.551 2.687 2.767
3.102 1.791 0.000
```

***

Of them, the most stable is model a and the least stable is model b.

***

Model a:
## Cd5Sb4 (PBE)

Data for an optimized crystal structure of Cd5Sb4.

## Properties
The value obtained for the volume is 227.4 Å³/cell. The space group is I4/mmm (139). For the calculated density, the calculation gives 7.660 g/cm³.

The structure in POSCAR format:
```
Cd5Sb4
1.0
-4.886 4.886 2.382
4.886 -4.886 2.382
4.886 4.886 -2.382
Cd Sb
5 4
Cartesian
0.000 0.000 0.000
3.293 3.293 0.000
1.593 -1.593 2.382
-1.593 1.593 2.382
1.593 1.593 2.382
3.172 0.000 0.000
6.600 0.000 0.000
0.000 3.172 0.000
0.000 6.600 0.000
```

***

Model b:
## Cd5Sb4 (PBE)

Data for an optimized crystal structure of Cd5Sb4.

## Properties
The value obtained for the volume is 504.4 Å³/cell. The space group is P6_3/mcm (193). For the calculated density, the calculation gives 6.907 g/cm³.

The structure in POSCAR format:
```
Cd5Sb4
1.0
9.298 0.000 0.000
-4.649 8.053 0.000
0.000 0.000 6.737
Cd Sb
10 8
Cartesian
-1.220 2.113 1.684
-3.429 5.939 5.052
2.440 0.000 1.684
1.220 2.113 5.052
0.000 5.368 0.000
0.000 5.368 3.368
4.649 2.684 0.000
4.649 2.684 3.368
6.858 0.000 5.052
3.429 5.939 1.684
0.000 0.000 0.000
0.000 0.000 3.368
-2.042 3.536 5.052
-2.608 4.516 1.684
4.083 0.000 5.052
2.042 3.536 1.684
5.215 0.000 1.684
2.608 4.516 5.052
```

***

Of them, the most stable is model b and the least stable is model a.